(1)
The following is a DFT calculation (PBE) of an optimized crystal structure of LaYBePt.

a = 4.850 Å, b = 4.850 Å, c = 4.850 Å
α = 60.00°, β = 60.00°, γ = 60.00°
Sites, in units of the cell vectors:
La 0.000 0.000 0.000
Y 0.250 0.250 0.250
Be 0.500 0.500 0.500
Pt 0.750 0.750 0.750

Distance to the lowest polymorph of the same formula   0.167 eV per atom
Total energy   -5.5686 eV/atom
Space-group type   F-43m (216)

(2)
The following is a DFT calculation (PBE) of an optimized crystal structure of LaBeRe.

a = 4.531 Å, b = 4.531 Å, c = 4.531 Å
α = 60.00°, β = 60.00°, γ = 60.00°
Sites, in units of the cell vectors:
La 0.000 0.000 0.000
Be 0.750 0.750 0.750
Re 0.250 0.250 0.250

Distance to the lowest polymorph of the same formula   0.974 eV per atom
Total energy   -5.2746 eV/atom
Space-group type   F-43m (216)

(3)
The following is a DFT calculation (PBE) of an optimized crystal structure of LaBeRe.

a = 4.399 Å, b = 4.399 Å, c = 4.399 Å
α = 60.00°, β = 60.00°, γ = 60.00°
Sites, in units of the cell vectors:
La 0.000 0.000 0.000
Be 0.500 0.500 0.500
Re 0.750 0.750 0.750

Distance to the lowest polymorph of the same formula   0.000 eV per atom
Total energy   -6.2483 eV/atom
Space-group type   F-43m (216)

(4)
The following is a DFT calculation (PBE) of an optimized crystal structure of LaSmBe2Si2.

a = 3.963 Å, b = 3.963 Å, c = 8.554 Å
α = 90.00°, β = 90.00°, γ = 120.00°
Sites, in units of the cell vectors:
La 0.000 0.000 0.000
Sm 0.000 0.000 0.500
Be 0.333 0.667 0.259
Be 0.667 0.333 0.741
Si 0.333 0.667 0.741
Si 0.667 0.333 0.259

Total energy   -5.2552 eV/atom
Space-group type   P-3m1 (164)

Listing theoretical density for the structures above in their given order: 8.89; 8.43; 9.22; 5.19 g/cm3.